The following is a PBE calculation of crystalline Pm2Pr8Al at its relaxed geometry, from the Alexandria database.

## Properties
volume: 34.40 Å³ per atom
space-group type: No. 12
formation enthalpy at 0 K: 0.0318 eV per atom

a = 9.432 Å, b = 9.432 Å, c = 8.163 Å
α = 110.81°, β = 110.81°, γ = 34.15°
Positions (direct):
Pm 0.191 0.191 0.155
Pm 0.809 0.809 0.845
Pr 0.018 0.018 0.274
Pr 0.176 0.176 0.723
Pr 0.338 0.338 0.580
Pr 0.402 0.402 0.078
Pr 0.598 0.598 0.922
Pr 0.662 0.662 0.420
Pr 0.824 0.824 0.277
Pr 0.982 0.982 0.726
Al 0.500 0.500 0.500


The following is a PBE calculation of crystalline PmPrAl2Pt at its relaxed geometry, from the Alexandria database.

## Properties
volume: 24.50 Å³ per atom
space-group type: No. 44
formation enthalpy at 0 K: -0.6342 eV per atom

a = 6.983 Å, b = 6.983 Å, c = 6.983 Å
α = 144.75°, β = 141.14°, γ = 53.47°
Positions (direct):
Pm 0.000 0.000 0.000
Pr 0.735 0.235 0.500
Al 0.348 0.848 0.500
Al 0.512 0.512 0.000
Pt 0.149 0.649 0.500


The following is a PBE calculation of crystalline Pm2PrAlSi2 at its relaxed geometry, from the Alexandria database.

## Properties
volume: 30.17 Å³ per atom
space-group type: No. 139
formation energy without anion corrections: 0.041 eV per atom

a = 8.733 Å, b = 8.733 Å, c = 8.733 Å
α = 148.52°, β = 148.52°, γ = 45.11°
Positions (direct):
Pm 0.250 0.750 0.500
Pm 0.750 0.250 0.500
Pr 0.000 0.000 0.000
Al 0.500 0.500 0.000
Si 0.357 0.357 0.000
Si 0.643 0.643 0.000


The following is a PBE calculation of crystalline PmPrAlSi at its relaxed geometry, from the Alexandria database.

## Properties
volume: 25.92 Å³ per atom
space-group type: No. 38
energy above the lowest structure with this stoichiometry: 0 meV per atom
formation energy without anion corrections: -0.602 eV per atom

a = 4.088 Å, b = 6.085 Å, c = 6.085 Å
α = 43.24°, β = 90.00°, γ = 90.00°
Positions (direct):
Pm 0.000 0.000 0.000
Pr 0.500 0.716 0.716
Al 0.500 0.425 0.425
Si 0.000 0.288 0.288


The following is a PBE calculation of crystalline PmPrAlSi at its relaxed geometry, from the Alexandria database.

## Properties
volume: 25.15 Å³ per atom
space-group type: No. 216
energy above the lowest structure with this stoichiometry: 272 meV per atom
formation energy without anion corrections: -0.330 eV per atom

a = 5.220 Å, b = 5.220 Å, c = 5.220 Å
α = 60.00°, β = 60.00°, γ = 60.00°
Positions (direct):
Pm 0.000 0.000 0.000
Pr 0.500 0.500 0.500
Al 0.750 0.750 0.750
Si 0.250 0.250 0.250


The following is a PBE calculation of crystalline Pm3Pr2Sm6Al at its relaxed geometry, from the Alexandria database.

## Properties
volume: 32.52 Å³ per atom
space-group type: No. 12
formation enthalpy at 0 K: -0.0112 eV per atom

a = 6.208 Å, b = 6.208 Å, c = 11.893 Å
α = 95.05°, β = 95.05°, γ = 120.11°
Positions (direct):
Pm 0.000 0.000 0.000
Pm 0.332 0.668 0.000
Pm 0.668 0.332 0.000
Pr 0.166 0.834 0.500
Pr 0.834 0.166 0.500
Sm 0.097 0.419 0.255
Sm 0.260 0.260 0.746
Sm 0.419 0.097 0.255
Sm 0.581 0.903 0.745
Sm 0.740 0.740 0.254
Sm 0.903 0.581 0.745
Al 0.500 0.500 0.500


The following is a PBE calculation of crystalline TbPmPrAl at its relaxed geometry, from the Alexandria database.

## Properties
volume: 28.92 Å³ per atom
space-group type: No. 216
energy above the lowest structure with this stoichiometry: 126 meV per atom
formation enthalpy at 0 K: -0.0495 eV per atom

a = 5.469 Å, b = 5.469 Å, c = 5.469 Å
α = 60.00°, β = 60.00°, γ = 60.00°
Positions (direct):
Tb 0.000 0.000 0.000
Pm 0.750 0.750 0.750
Pr 0.250 0.250 0.250
Al 0.500 0.500 0.500


The following is a PBE calculation of crystalline TbPmPrAl at its relaxed geometry, from the Alexandria database.

## Properties
volume: 29.68 Å³ per atom
space-group type: No. 99
energy above the lowest structure with this stoichiometry: 0 meV per atom
formation enthalpy at 0 K: -0.1758 eV per atom

a = 3.576 Å, b = 3.576 Å, c = 9.282 Å
α = 90.00°, β = 90.00°, γ = 90.00°
Positions (direct):
Tb 0.000 0.000 0.000
Pm 0.000 0.000 0.418
Pr 0.500 0.500 0.715
Al 0.500 0.500 0.204


no.,ρ (g/cm3),total moment (μB/atom)
1,6.3,0.000
2,7.3,0.000
3,4.7,0.000
4,5.5,0.000
5,5.6,0.000
6,7.0,0.000
7,6.8,0.000
8,6.6,0.000